## V6CuO15 (PBEsol)

Data for an optimized crystal structure of V6CuO15.

Calculated values
For the total energy, the calculation gives -8.585 eV per atom. The calculation puts the total magnetization at 1.0 μB per cell.

The structure in CIF format:
```
data_V6CuO15
_space_group_name_H-M_alt 'P -1'
_space_group_IT_number 2
_cell_length_a 7.1916
_cell_length_b 7.8355
_cell_length_c 10.0674
_cell_angle_alpha 73.03
_cell_angle_beta 89.94
_cell_angle_gamma 76.56
loop_
_space_group_symop_operation_xyz
'x,y,z'
'-x,-y,-z'
loop_
_atom_site_label
_atom_site_type_symbol
_atom_site_fract_x
_atom_site_fract_y
_atom_site_fract_z
V1 V 0.0538 0.2716 0.1155
V2 V 0.1440 0.9356 0.4050
V3 V 0.1692 0.8248 0.1028
V4 V 0.3327 0.1625 0.9059
V5 V 0.3586 0.0780 0.5921
V6 V 0.4419 0.7283 0.8835
Cu1 Cu 0.2340 0.5865 0.6579
O1 O 0.0000 0.5000 0.0000
O2 O 0.0179 0.2952 0.2708
O3 O 0.0909 0.1308 0.9473
O4 O 0.1210 0.0199 0.5726
O5 O 0.1292 0.9792 0.2196
O6 O 0.1845 0.7665 0.9254
O7 O 0.2089 0.7134 0.4693
O8 O 0.2231 0.6278 0.2138
O9 O 0.2860 0.3640 0.7916
O10 O 0.3141 0.2953 0.5426
O11 O 0.3162 0.2325 0.0833
O12 O 0.3683 0.0202 0.7808
O13 O 0.3752 0.0042 0.4180
O14 O 0.4051 0.8782 0.0498
O15 O 0.4218 0.7014 0.7297
O16 O 0.5000 0.5000 0.0000
```

## ScReIr (PBEsol)

Data for an optimized crystal structure of ScReIr.

Calculated values
As for the formation energy: 0.129 eV per atom. For the total energy, the calculation gives -9.792 eV per atom. The calculation puts the total magnetization at 0.0 μB per cell.

The structure in CIF format:
```
data_ScReIr
_space_group_name_H-M_alt 'F -4 3 m'
_space_group_IT_number 216
_space_group_name_Hall 'F -4 2 3'
_cell_length_a 6.0503
_cell_length_b 6.0503
_cell_length_c 6.0503
_cell_angle_alpha 90.00
_cell_angle_beta 90.00
_cell_angle_gamma 90.00
loop_
_atom_site_label
_atom_site_type_symbol
_atom_site_fract_x
_atom_site_fract_y
_atom_site_fract_z
Sc1 Sc 0.0000 0.0000 0.0000
Re1 Re 0.0000 0.0000 0.5000
Ir1 Ir 0.2500 0.2500 0.2500
```

Question: What is the formula in the first record?
Answer: V6CuO15

What did the first record say?
## V6CuO15 (PBEsol)

Data for an optimized crystal structure of V6CuO15.

Calculated values
For the total energy, the calculation gives -8.585 eV per atom. The calculation puts the total magnetization at 1.0 μB per cell.

The structure in CIF format:
```
data_V6CuO15
_space_group_name_H-M_alt 'P -1'
_space_group_IT_number 2
_cell_length_a 7.1916
_cell_length_b 7.8355
_cell_length_c 10.0674
_cell_angle_alpha 73.03
_cell_angle_beta 89.94
_cell_angle_gamma 76.56
loop_
_space_group_symop_operation_xyz
'x,y,z'
'-x,-y,-z'
loop_
_atom_site_label
_atom_site_type_symbol
_atom_site_fract_x
_atom_site_fract_y
_atom_site_fract_z
V1 V 0.0538 0.2716 0.1155
V2 V 0.1440 0.9356 0.4050
V3 V 0.1692 0.8248 0.1028
V4 V 0.3327 0.1625 0.9059
V5 V 0.3586 0.0780 0.5921
V6 V 0.4419 0.7283 0.8835
Cu1 Cu 0.2340 0.5865 0.6579
O1 O 0.0000 0.5000 0.0000
O2 O 0.0179 0.2952 0.2708
O3 O 0.0909 0.1308 0.9473
O4 O 0.1210 0.0199 0.5726
O5 O 0.1292 0.9792 0.2196
O6 O 0.1845 0.7665 0.9254
O7 O 0.2089 0.7134 0.4693
O8 O 0.2231 0.6278 0.2138
O9 O 0.2860 0.3640 0.7916
O10 O 0.3141 0.2953 0.5426
O11 O 0.3162 0.2325 0.0833
O12 O 0.3683 0.0202 0.7808
O13 O 0.3752 0.0042 0.4180
O14 O 0.4051 0.8782 0.0498
O15 O 0.4218 0.7014 0.7297
O16 O 0.5000 0.5000 0.0000
```

Question: Which value of total magnetization does entry 2 give?
Answer: 0.0 μB per cell

What did the second record say?
## ScReIr (PBEsol)

Data for an optimized crystal structure of ScReIr.

Calculated values
As for the formation energy: 0.129 eV per atom. For the total energy, the calculation gives -9.792 eV per atom. The calculation puts the total magnetization at 0.0 μB per cell.

The structure in CIF format:
```
data_ScReIr
_space_group_name_H-M_alt 'F -4 3 m'
_space_group_IT_number 216
_space_group_name_Hall 'F -4 2 3'
_cell_length_a 6.0503
_cell_length_b 6.0503
_cell_length_c 6.0503
_cell_angle_alpha 90.00
_cell_angle_beta 90.00
_cell_angle_gamma 90.00
loop_
_atom_site_label
_atom_site_type_symbol
_atom_site_fract_x
_atom_site_fract_y
_atom_site_fract_z
Sc1 Sc 0.0000 0.0000 0.0000
Re1 Re 0.0000 0.0000 0.5000
Ir1 Ir 0.2500 0.2500 0.2500
```